No. 1
! LaMoRu2, optimized geometry, DFT GGA-PBE; values from VASP
! * formation energy from the elements: 422 meV/atom
! * space-group type: I-42d, No. 122
! * spin magnetization: 0.00 μB/f.u.
! * energy above the most stable polymorph in this dataset: 370.7 meV/atom
! * calculated total energy: -8.16 eV per atom
&SYSTEM
  ibrav = 0, nat = 8, ntyp = 3
/
ATOMIC_SPECIES
Ru 101.07 Ru.upf
Mo 95.94 Mo.upf
La 138.91 La.upf
ATOMIC_POSITIONS angstrom
Ru -6.492 -10.920 1.774
Mo -1.941 -4.768 0.180
La -5.572 -6.104 -0.634
Ru -4.420 -6.757 2.005
Ru -1.118 -5.303 2.426
La 0.000 0.000 0.000
Ru -3.813 -3.769 -1.046
Mo -2.350 -7.270 3.213
CELL_PARAMETERS angstrom
-5.163 -3.602 -3.667
1.281 -5.935 4.027
-4.039 -3.838 2.219

No. 2
! CrSnSCl2, optimized geometry, DFT GGA-PBE; values from VASP
! * ΔE_f (raw): 0.245 eV/atom
! * space-group type: P4/mmm, No. 123
! * spin magnetization: 3.19 μB/f.u.
! * energy above the most stable polymorph in this dataset: 741.5 meV/atom
! * calculated total energy: -4.04 eV per atom
&SYSTEM
  ibrav = 0, nat = 5, ntyp = 4
/
ATOMIC_SPECIES
Cl 35.45 Cl.upf
Sn 118.71 Sn.upf
S 32.06 S.upf
Cr 52.00 Cr.upf
ATOMIC_POSITIONS angstrom
Cl 2.937 0.000 0.000
Sn 2.937 2.120 2.937
S 0.000 0.000 0.000
Cr 0.000 2.120 0.000
Cl 0.000 0.000 2.937
CELL_PARAMETERS angstrom
5.873 0.000 0.000
0.000 4.240 0.000
0.000 0.000 5.873

No. 3
! PmNdNp2As4, optimized geometry, DFT GGA-PBE; values from VASP
! * formation energy from the elements: -1093 meV/atom
! * space-group type: P2/m, No. 10
! * spin magnetization: 7.61 μB/f.u.
! * calculated total energy: -7.84 eV per atom
&SYSTEM
  ibrav = 0, nat = 8, ntyp = 4
/
ATOMIC_SPECIES
As 74.92 As.upf
Pm 145.00 Pm.upf
Np 237.00 Np.upf
Nd 144.24 Nd.upf
ATOMIC_POSITIONS angstrom
As 0.000 4.776 1.878
Pm 2.084 3.611 0.063
Np 2.084 -1.262 3.405
Nd 0.000 0.000 0.000
As 2.084 3.517 5.115
Np 0.000 2.348 3.468
As 2.084 1.180 1.821
As 0.000 -0.080 5.057
CELL_PARAMETERS angstrom
4.168 0.000 0.000
0.000 7.221 0.126
0.000 -2.525 6.810

No. 4
! Li2SiSe, optimized geometry, DFT GGA-PBE; values from VASP
! * ΔE_f (raw): -0.348 eV/atom
! * space-group type: Cmmm, No. 65
! * spin magnetization: 0.00 μB/f.u.
! * energy above the most stable polymorph in this dataset: 126.7 meV/atom
! * calculated total energy: -3.53 eV per atom
&SYSTEM
  ibrav = 0, nat = 4, ntyp = 3
/
ATOMIC_SPECIES
Li 6.94 Li.upf
Si 28.09 Si.upf
Se 78.96 Se.upf
ATOMIC_POSITIONS angstrom
Li 0.000 0.000 3.991
Li 0.000 0.000 0.029
Si 1.412 1.419 6.029
Se 1.412 1.419 2.010
CELL_PARAMETERS angstrom
2.833 0.004 0.000
-0.010 2.833 0.000
0.000 0.000 8.039